# ScInMo2C

Crystalline ScInMo2C at its relaxed geometry (PBE-GGA, Alexandria via LeMat-Bulk).

## Properties
* space-group type: P4/mmm
* calculated volume: 80.3 Å³/cell
* energy of formation: -11.3 kJ per mole of atoms

abc: 4.196 4.196 4.559
angles: 90.00 90.00 90.00
Positions (direct):
Mo (0.000, 0.500, 0.000)
Mo (0.500, 0.000, 0.000)
In (0.500, 0.500, 0.500)
Sc (0.000, 0.000, 0.500)
C (0.000, 0.000, 0.000)

# ScSiPd3

Crystalline ScSiPd3 at its relaxed geometry (PBE-GGA, Alexandria via LeMat-Bulk).

## Properties
* energy relative to the elements, uncorrected: -0.416 eV/atom
* space-group type: Pm-3m
* E above lowest polymorph: 0.000 eV per atom
* calculated volume: 92.8 Å³/cell

abc: 4.527 4.527 4.527
angles: 90.00 90.00 90.00
Positions (direct):
Sc (0.500, 0.500, 0.500)
Si (0.000, 0.000, 0.000)
Pd (0.000, 0.000, 0.500)
Pd (0.500, 0.000, 0.000)
Pd (0.000, 0.500, 0.000)

# LiAgPdAu

Crystalline LiAgPdAu at its relaxed geometry (PBE-GGA, Alexandria via LeMat-Bulk).

## Properties
* space-group type: Pmmm
* calculated volume: 64.5 Å³/cell
* energy of formation: -31.5 kJ per mole of atoms

abc: 3.947 4.047 4.040
angles: 90.00 90.00 90.00
Positions (direct):
Au (0.000, 0.000, 0.000)
Pd (0.500, 0.500, 0.000)
Ag (0.000, 0.500, 0.500)
Li (0.500, 0.000, 0.500)

# GeBiO2

Crystalline GeBiO2 at its relaxed geometry (PBE-GGA, Alexandria via LeMat-Bulk).

## Properties
* energy relative to the elements, uncorrected: -0.717 eV/atom
* space-group type: I-42d
* E above lowest polymorph: 0.086 eV per atom
* calculated volume: 139.8 Å³/cell

abc: 5.786 5.786 5.847
angles: 60.34 60.34 90.00
Positions (direct):
Bi (0.750, 0.250, 0.500)
Bi (0.000, 0.000, 0.000)
O (0.331, 0.625, 0.250)
O (0.419, 0.125, 0.250)
O (0.875, 0.669, 0.750)
O (0.375, 0.581, 0.750)
Ge (0.250, 0.750, 0.500)
Ge (0.500, 0.500, 0.000)

# PmDy8Tm3

Crystalline PmDy8Tm3 at its relaxed geometry (PBE-GGA, Alexandria via LeMat-Bulk).

## Properties
* space-group type: Cm
* calculated volume: 374.5 Å³/cell
* energy of formation: 1.8 kJ per mole of atoms

abc: 10.592 7.073 7.073
angles: 90.00 120.01 120.02
Positions (direct):
Dy (0.999, 0.208, 0.707)
Dy (0.334, 0.208, 0.709)
Dy (0.333, 0.207, 0.207)
Dy (0.667, 0.209, 0.209)
Dy (0.999, 0.707, 0.208)
Dy (0.000, 0.209, 0.209)
Dy (0.334, 0.709, 0.208)
Dy (0.332, 0.708, 0.708)
Pm (0.667, 0.709, 0.709)
Tm (0.667, 0.708, 0.209)
Tm (0.667, 0.209, 0.708)
Tm (0.000, 0.708, 0.708)

# UCuSbSe

Crystalline UCuSbSe at its relaxed geometry (PBE-GGA, Alexandria via LeMat-Bulk).

## Properties
* energy relative to the elements, uncorrected: -0.452 eV/atom
* space-group type: P4/nmm
* calculated volume: 171.8 Å³/cell

abc: 4.417 4.417 8.804
angles: 90.00 90.00 90.00
Site moments in Bohr magnetons follow the coordinates.
Positions (direct):
Cu (0.500, 0.500, 0.000)  -0.02
Cu (0.000, 0.000, 0.000)  -0.02
Se (0.000, 0.000, 0.500)  -0.11
Se (0.500, 0.500, 0.500)  -0.11
U (0.000, 0.500, 0.286)  2.11
U (0.500, 0.000, 0.714)  2.11
Sb (0.000, 0.500, 0.830)  -0.06
Sb (0.500, 0.000, 0.170)  -0.06

# KSrY2

Crystalline KSrY2 at its relaxed geometry (PBE-GGA, Alexandria via LeMat-Bulk).

## Properties
* space-group type: Cm
* E above lowest polymorph: 0.196 eV per atom
* calculated volume: 170.7 Å³/cell
* energy of formation: 38.5 kJ per mole of atoms

abc: 6.640 6.640 7.267
angles: 81.78 81.78 32.59
Site moments in Bohr magnetons follow the coordinates.
Positions (direct):
Sr (0.257, 0.257, 0.238)  0.02
Y (0.736, 0.736, 0.787)  0.25
Y (0.012, 0.012, 0.975)  0.25
K (0.496, 0.496, 0.501)  0.00

# EuHoSnPt

Crystalline EuHoSnPt at its relaxed geometry (PBE-GGA, Alexandria via LeMat-Bulk).

## Properties
* space-group type: F-43m
* calculated volume: 99.9 Å³/cell
* energy of formation: -72.4 kJ per mole of atoms

abc: 5.209 5.209 5.209
angles: 60.00 60.00 60.00
Site moments in Bohr magnetons follow the coordinates.
Positions (direct):
Sn (0.250, 0.250, 0.250)  -0.03
Ho (0.500, 0.500, 0.500)  -0.01
Eu (0.000, 0.000, 0.000)  6.74
Pt (0.750, 0.750, 0.750)  -0.04

no.,raw total energy (eV per cell)
1,-40.539
2,-29.414
3,-14.542
4,-42.563
5,-54.763
6,-49.602
7,-14.110
8,-27.897